Model w:
# Sc3TlC

Sc3TlC after structural relaxation (GGA-PBE, Alexandria via LeMat-Bulk).

abc: 4.5578 4.5578 4.5578
angles: 90.00 90.00 90.00
Atoms (fractional coordinates):
1 Tl 0.5000 0.5000 0.5000
2 Sc 0.0000 0.0000 0.5000
3 Sc 0.5000 0.0000 0.0000
4 Sc 0.0000 0.5000 0.0000
5 C 0.0000 0.0000 0.0000

Total magnetization = 0.0000 μB/atom

Model x:
# Sc3TlC

Sc3TlC after structural relaxation (GGA-PBE, Alexandria via LeMat-Bulk).

abc: 5.2764 5.2764 5.2764
angles: 90.00 90.00 90.00
Atoms (fractional coordinates):
1 C 0.5000 0.5000 0.5000
2 Sc 0.0000 0.0000 0.5000
3 Sc 0.0000 0.5000 0.0000
4 Sc 0.5000 0.0000 0.0000
5 Tl 0.0000 0.0000 0.0000

Total magnetization = 0.0000 μB/atom

Tell me which of them is the most stable. Sure, it is model w.

Model w:
# ScUC2

ScUC2 after structural relaxation (GGA-PBE, Alexandria via LeMat-Bulk).

abc: 3.4705 3.4705 11.0031
angles: 90.00 90.00 120.00
Atoms (fractional coordinates):
1 U 0.0000 0.0000 0.0000
2 U 0.0000 0.0000 0.5000
3 C 0.6667 0.3333 0.6163
4 C 0.6667 0.3333 0.8837
5 C 0.3333 0.6667 0.1163
6 C 0.3333 0.6667 0.3837
7 Sc 0.6667 0.3333 0.2500
8 Sc 0.3333 0.6667 0.7500

Total magnetization = 0.0002 μB/atom

Model x:
# ScUC2

ScUC2 after structural relaxation (GGA-PBE, Alexandria via LeMat-Bulk).

abc: 3.4345 3.4345 5.9740
angles: 73.29 73.29 60.00
Atoms (fractional coordinates):
1 Sc 0.4948 0.4948 0.5155
2 C 0.0801 0.0801 0.7598
3 C 0.2575 0.2575 0.2275
4 U 0.6676 0.6676 0.9972

Total magnetization = 0.0000 μB/atom

Tell me which of them is the most stable. Sure, it is model w.

Model w:
# ScV3C

ScV3C after structural relaxation (GGA-PBE, Alexandria via LeMat-Bulk).

abc: 4.3266 4.3266 4.3266
angles: 90.00 90.00 90.00
Site moments in Bohr magnetons follow the coordinates.
Atoms (fractional coordinates):
1 V 0.0000 0.0000 0.5000  0.09
2 V 0.5000 0.0000 0.0000  0.09
3 V 0.0000 0.5000 0.0000  0.09
4 C 0.5000 0.5000 0.5000  -0.01
5 Sc 0.0000 0.0000 0.0000  0.05

Total magnetization = 0.0617 μB/atom

Model x:
# ScV3C

ScV3C after structural relaxation (GGA-PBE, Alexandria via LeMat-Bulk).

abc: 4.0962 4.0962 4.0962
angles: 90.00 90.00 90.00
Atoms (fractional coordinates):
1 V 0.0000 0.0000 0.5000
2 V 0.5000 0.0000 0.0000
3 V 0.0000 0.5000 0.0000
4 Sc 0.5000 0.5000 0.5000
5 C 0.0000 0.0000 0.0000

Total magnetization = 0.0009 μB/atom

Tell me which of them is the most stable. Sure, it is model x.

Model w:
# ScW3C

ScW3C after structural relaxation (GGA-PBE, Alexandria via LeMat-Bulk).

abc: 4.6043 4.6043 4.6043
angles: 90.00 90.00 90.00
Atoms (fractional coordinates):
1 W 0.5000 0.0000 0.0000
2 W 0.0000 0.5000 0.0000
3 W 0.0000 0.0000 0.5000
4 Sc 0.0000 0.0000 0.0000
5 C 0.5000 0.5000 0.5000

Total magnetization = 0.0000 μB/atom

Model x:
# ScW3C

ScW3C after structural relaxation (GGA-PBE, Alexandria via LeMat-Bulk).

abc: 4.2385 4.2385 4.2385
angles: 90.00 90.00 90.00
Atoms (fractional coordinates):
1 Sc 0.5000 0.5000 0.5000
2 W 0.0000 0.5000 0.0000
3 W 0.5000 0.0000 0.0000
4 W 0.0000 0.0000 0.5000
5 C 0.0000 0.0000 0.0000

Total magnetization = 0.0000 μB/atom

Tell me which of them is the most stable. Sure, it is model x.

Model w:
# ScWC2

ScWC2 after structural relaxation (GGA-PBE, Alexandria via LeMat-Bulk).

abc: 3.1335 3.1315 5.5801
angles: 106.25 90.00 120.02
Atoms (fractional coordinates):
1 W 0.0000 0.5000 0.5000
2 C 0.2557 0.0113 0.2674
3 C 0.7443 0.9887 0.7326
4 Sc 0.5000 0.5000 0.0000

Total magnetization = 0.0000 μB/atom

Model x:
# ScWC2

ScWC2 after structural relaxation (GGA-PBE, Alexandria via LeMat-Bulk).

abc: 3.9397 3.9397 3.9397
angles: 60.00 60.00 60.00
Atoms (fractional coordinates):
1 W 0.5000 0.5000 0.5000
2 C 0.2500 0.2500 0.2500
3 C 0.7500 0.7500 0.7500
4 Sc 0.0000 0.0000 0.0000

Total magnetization = 0.0001 μB/atom

Model y:
# ScWC2

ScWC2 after structural relaxation (GGA-PBE, Alexandria via LeMat-Bulk).

abc: 3.1056 3.1056 5.8041
angles: 74.48 74.48 60.00
Atoms (fractional coordinates):
1 W 0.6706 0.6706 0.9883
2 Sc 0.4942 0.4942 0.5175
3 C 0.2590 0.2590 0.2229
4 C 0.0762 0.0762 0.7713

Total magnetization = 0.0000 μB/atom

Tell me which of them is the most stable. Sure, it is model w.

Model w:
# Sc3WC

Sc3WC after structural relaxation (GGA-PBE, Alexandria via LeMat-Bulk).

abc: 4.9781 4.9781 4.9781
angles: 90.00 90.00 90.00
Atoms (fractional coordinates):
1 Sc 0.5000 0.0000 0.0000
2 Sc 0.0000 0.5000 0.0000
3 Sc 0.0000 0.0000 0.5000
4 W 0.0000 0.0000 0.0000
5 C 0.5000 0.5000 0.5000

Total magnetization = 0.0000 μB/atom

Model x:
# Sc3WC

Sc3WC after structural relaxation (GGA-PBE, Alexandria via LeMat-Bulk).

abc: 4.4782 4.4782 4.4782
angles: 90.00 90.00 90.00
Site moments in Bohr magnetons follow the coordinates.
Atoms (fractional coordinates):
1 Sc 0.5000 0.0000 0.0000  0.05
2 Sc 0.0000 0.0000 0.5000  0.14
3 Sc 0.0000 0.5000 0.0000  0.13
4 W 0.5000 0.5000 0.5000  0.86
5 C 0.0000 0.0000 0.0000  0.07

Total magnetization = 0.3803 μB/atom

Tell me which of them is the most stable. Sure, it is model x.

Model w:
# YScC

YScC after structural relaxation (GGA-PBE, Alexandria via LeMat-Bulk).

abc: 3.4919 5.9991 6.2434
angles: 101.43 106.24 90.00
Site moments in Bohr magnetons follow the coordinates.
Atoms (fractional coordinates):
1 Sc 0.1485 0.8761 0.2971  0.07
2 Sc 0.8515 0.1239 0.7029  0.07
3 Y 0.6322 0.3654 0.2645  0.07
4 Y 0.3678 0.6346 0.7355  0.07
5 C 0.2530 0.2400 0.5060  -0.01
6 C 0.7470 0.7600 0.4940  -0.01

Total magnetization = 0.1107 μB/atom

Model x:
# YScC

YScC after structural relaxation (GGA-PBE, Alexandria via LeMat-Bulk).

abc: 5.9682 3.4659 3.4659
angles: 120.00 90.00 90.00
Atoms (fractional coordinates):
1 C 0.0169 0.0000 0.0000
2 Y 0.7757 0.6667 0.3333
3 Sc 0.2073 0.3333 0.6667

Total magnetization = 0.0554 μB/atom

Tell me which of them is the most stable. Sure, it is model w.

Model w:
# YScC3

YScC3 after structural relaxation (GGA-PBE, Alexandria via LeMat-Bulk).

abc: 4.3516 4.3516 4.3516
angles: 90.00 90.00 90.00
Atoms (fractional coordinates):
1 C 0.0000 0.5000 0.0000
2 C 0.5000 0.0000 0.0000
3 C 0.0000 0.0000 0.5000
4 Y 0.0000 0.0000 0.0000
5 Sc 0.5000 0.5000 0.5000

Total magnetization = 0.0000 μB/atom

Model x:
# YScC3

YScC3 after structural relaxation (GGA-PBE, Alexandria via LeMat-Bulk).

abc: 4.1678 4.1678 4.1678
angles: 90.00 90.00 90.00
Atoms (fractional coordinates):
1 C 0.0000 0.5000 0.0000
2 C 0.5000 0.0000 0.0000
3 C 0.0000 0.0000 0.5000
4 Sc 0.0000 0.0000 0.0000
5 Y 0.5000 0.5000 0.5000

Total magnetization = 0.0000 μB/atom

Tell me which of them is the most stable. Sure, it is model x.